# TlTe5Au3

A relaxed TlTe5Au3 crystal (GGA-PBE, OQMD).

Values from the calculation:
Calculated total energy, eV per atom: -2.974

abc: 5.850 5.850 8.529
angles: 90.00 90.00 120.00
Fractional positions:
Tl: 0.000 0.000 0.000
Te: 0.000 0.000 0.500
Te: 0.333 0.667 0.164
Te: 0.333 0.667 0.836
Te: 0.667 0.333 0.164
Te: 0.667 0.333 0.836
Au: 0.000 0.500 0.500
Au: 0.500 0.000 0.500
Au: 0.500 0.500 0.500


# TlTe2Au2

A relaxed TlTe2Au2 crystal (GGA-PBE, OQMD).

Values from the calculation:
Calculated total energy, eV per atom: -2.962

abc: 7.054 7.054 7.054
angles: 141.15 141.15 56.11
Fractional positions:
Tl: 0.000 0.000 0.000
Te: 0.250 0.750 0.500
Te: 0.750 0.250 0.500
Au: 0.393 0.393 0.000
Au: 0.607 0.607 0.000


# Tl2TeAu

A relaxed Tl2TeAu crystal (GGA-PBE, OQMD).

Values from the calculation:
Calculated total energy, eV per atom: -2.754

abc: 5.351 5.351 5.351
angles: 60.00 60.00 60.00
Fractional positions:
Tl: 0.000 0.000 0.000
Tl: 0.250 0.250 0.250
Te: 0.500 0.500 0.500
Au: 0.750 0.750 0.750


- The lowest calculated total energy belongs to which entry?
  TlTe5Au3